(1)
Below is LiCdCoGe after structural relaxation, with properties calculated at the PBE-GGA level.

abc: 6.124 6.124 6.124
angles: 90.00 90.00 90.00
Space group F-43m (No. 216)
Inequivalent atoms, fractional coordinates:
1 Li 0.000 0.000 0.000
2 Cd 0.250 0.250 0.750
3 Co 0.000 0.000 0.500
4 Ge 0.250 0.250 0.250

Calculated density in g cm⁻³: 7.26
Energy of formation from the pure elements in eV per formula unit: -0.19
Total magnetization in μB/atom: 0.000
DOS at the Fermi energy in states/eV/cell: 11.94
E in eV per atom: -3.6849

***

(2)
Below is GdThFeCo after structural relaxation, with properties calculated at the PBE-GGA level.

abc: 6.847 6.847 6.847
angles: 90.00 90.00 90.00
Space group F-43m (No. 216)
Inequivalent atoms, fractional coordinates:
1 Gd 0.000 0.000 0.000
2 Th 0.000 0.000 0.500
3 Fe 0.250 0.250 0.250
4 Co 0.250 0.250 0.750

Calculated density in g cm⁻³: 10.43
Energy of formation from the pure elements in eV per formula unit: 0.01
Total magnetization in μB/atom: 1.478
DOS at the Fermi energy in states/eV/cell: 16.42
E in eV per atom: -9.2637

***

Which value of calculated density does entry 2 give?
10.43 g cm⁻³

***

What is the calculated density in the first record?
7.26 g cm⁻³